Dy9ScIn2 | PBE | relaxed Values from VASP.

Geometry as Quantum ESPRESSO input:
```
&SYSTEM
  ibrav = 0, nat = 12, ntyp = 3
/
ATOMIC_SPECIES
Dy 162.50 Dy.upf
Sc 44.96 Sc.upf
In 114.82 In.upf
CELL_PARAMETERS angstrom
4.846 0.000 0.000
0.000 4.846 0.000
0.000 0.000 14.744
ATOMIC_POSITIONS angstrom
Dy 2.423 2.423 0.000
Dy 2.423 0.000 12.266
Dy 2.423 2.423 4.931
Dy 2.423 2.423 9.812
Dy 0.000 2.423 7.372
Dy 2.423 0.000 2.478
Dy 2.423 0.000 7.372
Dy 0.000 2.423 12.266
Dy 0.000 2.423 2.478
Sc 0.000 0.000 0.000
In 0.000 0.000 4.978
In 0.000 0.000 9.766
```

Summary:
The formation enthalpy at 0 K is -0.167 eV/atom. As for the symmetry: P4/mmm, No. 123. The density of states at the Fermi level is 13.9 states/eV/f.u.


PRhF | PBE | relaxed Values from VASP.

Geometry as Quantum ESPRESSO input:
```
&SYSTEM
  ibrav = 0, nat = 6, ntyp = 3
/
ATOMIC_SPECIES
Rh 102.91 Rh.upf
P 30.97 P.upf
F 19.00 F.upf
CELL_PARAMETERS angstrom
-2.859 -1.324 1.190
2.905 -0.572 1.601
-1.886 8.830 4.986
ATOMIC_POSITIONS angstrom
Rh -0.290 3.082 2.596
Rh -1.550 3.853 5.181
P -1.069 1.140 3.330
P -0.771 5.795 4.448
F -1.007 7.102 5.341
F -0.833 -0.168 2.437
```

Summary:
The polymorph energy (0 for the lowest one) comes out at 0.0 meV per atom. As for the symmetry: P-1, No. 2. The calculation puts the formation energy (no corrections) at -1.29 eV/atom. The density of states at the Fermi level is 2.0 states/eV/f.u.


Y4ReSe | PBE | relaxed Values from VASP.

Geometry as Quantum ESPRESSO input:
```
&SYSTEM
  ibrav = 0, nat = 6, ntyp = 3
/
ATOMIC_SPECIES
Y 88.91 Y.upf
Se 78.96 Se.upf
Re 186.21 Re.upf
CELL_PARAMETERS angstrom
0.000 4.255 4.255
4.255 0.000 4.255
4.255 4.255 0.000
ATOMIC_POSITIONS angstrom
Y 5.301 3.209 5.301
Y 3.209 3.209 3.209
Y 3.209 5.301 5.301
Y 5.301 5.301 3.209
Se 0.000 0.000 0.000
Re 6.383 6.383 6.383
```

Summary:
As for the symmetry: F-43m, No. 216. The calculation puts the formation energy (no corrections) at 0.81 eV/atom. The density of states at the Fermi level is 8.7 states/eV/f.u.


Ta3NbZn | PBE | relaxed Values from VASP.

Geometry as Quantum ESPRESSO input:
```
&SYSTEM
  ibrav = 0, nat = 5, ntyp = 3
/
ATOMIC_SPECIES
Nb 92.91 Nb.upf
Ta 180.95 Ta.upf
Zn 65.41 Zn.upf
CELL_PARAMETERS angstrom
4.677 0.000 0.000
0.000 4.677 0.000
0.000 0.000 4.677
ATOMIC_POSITIONS angstrom
Nb 2.338 2.338 2.338
Ta 0.000 0.000 2.338
Ta 2.338 0.000 0.000
Ta 0.000 2.338 0.000
Zn 0.000 0.000 0.000
```

Summary:
The formation enthalpy at 0 K is 1.297 eV/atom. The polymorph energy (0 for the lowest one) comes out at 0.0 meV per atom. As for the symmetry: Pm-3m, No. 221. The density of states at the Fermi level is 3.9 states/eV/f.u.


Pt2PbO4 | PBE | relaxed Values from VASP.

Geometry as Quantum ESPRESSO input:
```
&SYSTEM
  ibrav = 0, nat = 14, ntyp = 3
/
ATOMIC_SPECIES
Pt 195.08 Pt.upf
O 16.00 O.upf
Pb 207.20 Pb.upf
CELL_PARAMETERS angstrom
-2.743 -3.702 3.475
4.883 2.471 2.977
-5.276 4.140 -1.003
ATOMIC_POSITIONS angstrom
Pt -2.638 2.070 -0.501
Pt -1.568 1.454 2.725
Pt 1.070 -0.616 3.226
Pt -4.010 0.219 1.236
O -3.615 1.644 2.651
O -4.065 3.285 0.235
O -1.023 3.207 3.646
O -1.339 2.464 0.977
O -1.798 0.445 4.473
O 0.478 1.265 2.799
O 0.928 -0.376 5.215
O -2.113 -0.298 1.804
Pb -1.915 -1.961 3.573
Pb -1.222 4.870 1.876
```

Summary:
The polymorph energy (0 for the lowest one) comes out at 0.0 meV per atom. As for the symmetry: P-1, No. 2. The calculation puts the formation energy (no corrections) at -0.72 eV/atom. The density of states at the Fermi level is 4.4 states/eV/f.u.


Na2EuAs | PBE | relaxed Values from VASP.

Geometry as Quantum ESPRESSO input:
```
&SYSTEM
  ibrav = 0, nat = 4, ntyp = 3
/
ATOMIC_SPECIES
Na 22.99 Na.upf
Eu 151.96 Eu.upf
As 74.92 As.upf
CELL_PARAMETERS angstrom
-2.847 4.310 1.034
-2.805 0.300 4.449
1.492 3.284 3.839
ATOMIC_POSITIONS angstrom
Na -1.040 1.974 2.331
Na -3.121 5.920 6.991
Eu -2.080 3.947 4.661
As 0.000 0.000 0.000
```

Summary:
The formation enthalpy at 0 K is -0.190 eV/atom. As for the symmetry: Fm-3m, No. 225. The density of states at the Fermi level is 2.3 states/eV/f.u.


BaAlTe2I | PBE | relaxed Values from VASP.

Geometry as Quantum ESPRESSO input:
```
&SYSTEM
  ibrav = 0, nat = 5, ntyp = 4
/
ATOMIC_SPECIES
Te 127.60 Te.upf
Ba 137.33 Ba.upf
I 126.90 I.upf
Al 26.98 Al.upf
CELL_PARAMETERS angstrom
6.313 0.000 0.000
0.000 6.140 0.000
0.000 0.000 6.313
ATOMIC_POSITIONS angstrom
Te 0.000 0.000 3.156
Te 3.156 0.000 0.000
Ba 0.000 3.070 0.000
I 0.000 0.000 0.000
Al 3.156 3.070 3.156
```

Summary:
The polymorph energy (0 for the lowest one) comes out at 1046.9 meV per atom. As for the symmetry: P4/mmm, No. 123. The calculation puts the formation energy (no corrections) at 0.21 eV/atom. The density of states at the Fermi level is 2.4 states/eV/f.u.


Tb3Dy3Ni4 | PBE | relaxed Values from VASP.

Geometry as Quantum ESPRESSO input:
```
&SYSTEM
  ibrav = 0, nat = 10, ntyp = 3
/
ATOMIC_SPECIES
Tb 158.93 Tb.upf
Dy 162.50 Dy.upf
Ni 58.69 Ni.upf
CELL_PARAMETERS angstrom
3.857 0.000 0.000
0.000 7.541 -0.027
0.000 0.039 7.541
ATOMIC_POSITIONS angstrom
Tb 1.929 2.535 2.516
Tb 1.929 5.042 5.001
Tb 1.929 6.303 1.222
Dy 0.000 0.020 3.775
Dy 0.000 3.806 7.528
Dy 1.929 1.282 6.288
Ni 0.000 2.864 4.691
Ni 0.000 6.657 6.589
Ni 0.000 4.709 2.830
Ni 0.000 0.933 0.915
```

Summary:
The formation enthalpy at 0 K is -0.319 eV/atom. As for the symmetry: Amm2, No. 38. The density of states at the Fermi level is 8.9 states/eV/f.u.


BeCu3 | PBE | relaxed Values from VASP.

Geometry as Quantum ESPRESSO input:
```
&SYSTEM
  ibrav = 0, nat = 8, ntyp = 2
/
ATOMIC_SPECIES
Cu 63.55 Cu.upf
Be 9.01 Be.upf
CELL_PARAMETERS angstrom
4.085 0.000 0.000
0.000 4.272 0.000
0.000 0.000 5.038
ATOMIC_POSITIONS angstrom
Cu 2.043 2.843 0.000
Cu 0.000 1.429 2.519
Cu 2.043 0.750 3.773
Cu 2.043 0.750 1.265
Cu 0.000 3.522 3.784
Cu 0.000 3.522 1.254
Be 2.043 2.893 2.519
Be 0.000 1.379 0.000
```

Summary:
The formation enthalpy at 0 K is -0.022 eV/atom. As for the symmetry: Pmmn, No. 59. The density of states at the Fermi level is 0.7 states/eV/f.u.


TbDy2NpO8 | PBE | relaxed Values from VASP.

Geometry as Quantum ESPRESSO input:
```
&SYSTEM
  ibrav = 0, nat = 12, ntyp = 4
/
ATOMIC_SPECIES
O 16.00 O.upf
Dy 162.50 Dy.upf
Np 237.00 Np.upf
Tb 158.93 Tb.upf
CELL_PARAMETERS angstrom
3.858 -0.145 -0.002
-0.115 5.383 -0.006
0.004 0.008 7.437
ATOMIC_POSITIONS angstrom
O 1.764 1.156 7.434
O 3.742 1.139 1.653
O 3.744 1.144 5.776
O 1.840 3.954 3.713
O 0.005 4.107 5.775
O 1.907 1.292 3.716
O 1.983 4.090 -0.006
O 0.002 4.103 1.652
Dy 1.873 2.621 1.922
Dy 1.874 2.625 5.507
Np 0.000 0.000 0.000
Tb 0.002 0.004 3.718
```

Summary:
As for the symmetry: P2/m, No. 10. The calculation puts the formation energy (no corrections) at -3.21 eV/atom. The density of states at the Fermi level is 1.4 states/eV/f.u.


K2LiH4Au | PBE | relaxed Values from VASP.

Geometry as Quantum ESPRESSO input:
```
&SYSTEM
  ibrav = 0, nat = 16, ntyp = 4
/
ATOMIC_SPECIES
K 39.10 K.upf
H 1.01 H.upf
Au 196.97 Au.upf
Li 6.94 Li.upf
CELL_PARAMETERS angstrom
4.903 0.000 0.000
2.451 5.705 0.000
2.451 0.000 10.090
ATOMIC_POSITIONS angstrom
K 2.451 0.000 6.606
K 4.903 0.000 3.484
K 6.128 2.853 8.529
K 6.128 2.853 1.561
H 4.825 1.824 5.979
H 4.825 3.881 4.111
H 3.599 1.028 0.934
H 3.754 1.028 9.156
H 2.529 1.824 4.111
H 3.754 4.677 0.934
H 7.431 3.881 5.979
H 8.502 4.677 9.156
Au 3.677 2.853 5.045
Au 2.451 0.000 0.000
Li 0.000 0.000 0.000
Li 6.128 2.853 5.045
```

Summary:
As for the symmetry: Fddd, No. 70. The density of states at the Fermi level is 0.0 states/eV/f.u.


Tc2Au | PBE | relaxed Values from VASP.

Geometry as Quantum ESPRESSO input:
```
&SYSTEM
  ibrav = 0, nat = 6, ntyp = 2
/
ATOMIC_SPECIES
Tc 98.00 Tc.upf
Au 196.97 Au.upf
CELL_PARAMETERS angstrom
1.990 -5.870 0.000
1.990 5.870 0.000
0.000 0.000 4.039
ATOMIC_POSITIONS angstrom
Tc 1.990 -2.973 3.029
Tc 1.990 -1.237 1.010
Tc 1.990 1.237 3.029
Tc 1.990 2.973 1.010
Au 1.990 -4.905 1.010
Au 1.990 4.905 3.029
```

Summary:
The formation enthalpy at 0 K is 0.200 eV/atom. The polymorph energy (0 for the lowest one) comes out at 72.0 meV per atom. As for the symmetry: Cmcm, No. 63. The density of states at the Fermi level is 2.5 states/eV/f.u.


Number 1: VASP energy -0.169 Ha/atom. Number 2: VASP energy -0.227 Ha/atom. Number 3: VASP energy -0.226 Ha/atom. Number 4: VASP energy -0.297 Ha/atom. Number 5: VASP energy -0.214 Ha/atom. Number 6: VASP energy -0.168 Ha/atom. Number 7: VASP energy -0.091 Ha/atom. Number 8: VASP energy -0.199 Ha/atom. Number 9: VASP energy -0.148 Ha/atom. Number 10: VASP energy -0.321 Ha/atom. Number 11: VASP energy -0.104 Ha/atom. Number 12: VASP energy -0.287 Ha/atom.